First-principles (GGA-PBE) data for KAg3Ge after structural relaxation, as listed in the Alexandria database.

abc: 5.410 5.410 5.410
angles: 90.00 90.00 90.00
Fractional coordinates of all 5 atoms:
Ge1 0.500 0.500 0.500
Ag1 0.000 0.000 0.500
Ag2 0.000 0.500 0.000
Ag3 0.500 0.000 0.000
K1 0.000 0.000 0.000

Values from the calculation:
offset from the most stable computed form: 6.41 eV/f.u.

---

First-principles (GGA-PBE) data for KAg2Ge2 after structural relaxation, as listed in the Alexandria database.

abc: 4.743 4.743 6.119
angles: 67.20 67.20 90.00
Fractional coordinates of all 5 atoms:
Ge1 0.379 0.379 0.242
Ge2 0.621 0.621 0.758
Ag1 0.750 0.250 0.500
Ag2 0.250 0.750 0.500
K1 0.000 0.000 0.000

Values from the calculation:
offset from the most stable computed form: 0.00 eV/f.u.

---

First-principles (GGA-PBE) data for KAg2Ge2 after structural relaxation, as listed in the Alexandria database.

abc: 4.691 4.691 6.454
angles: 68.69 68.69 90.00
Fractional coordinates of all 5 atoms:
Ag1 0.366 0.366 0.267
Ag2 0.634 0.634 0.733
Ge1 0.250 0.750 0.500
Ge2 0.750 0.250 0.500
K1 0.000 0.000 0.000

Values from the calculation:
offset from the most stable computed form: 0.53 eV/f.u.